DFT (PBE-GGA) results for a relaxed structure of NaLaPrGe.

```
NaLaPrGe
1.0
7.618 0.000 0.000
0.000 7.618 0.000
0.000 0.000 7.618
Na La Pr Ge
4 4 4 4
Cartesian
0.000 0.000 0.000 Na
0.000 3.809 3.809 Na
3.809 0.000 3.809 Na
3.809 3.809 0.000 Na
1.904 1.904 5.713 La
1.904 5.713 1.904 La
5.713 1.904 1.904 La
5.713 5.713 5.713 La
1.904 1.904 1.904 Pr
1.904 5.713 5.713 Pr
5.713 1.904 5.713 Pr
5.713 5.713 1.904 Pr
0.000 0.000 3.809 Ge
0.000 3.809 0.000 Ge
3.809 0.000 0.000 Ge
3.809 3.809 3.809 Ge
```

* total energy: -4.196 eV per atom
* D(E_F): 2.6 states/eV/f.u.
* density: 5.64 g cm⁻³



DFT (PBE-GGA) results for a relaxed structure of NaLa2Ge7Pt2.

```
NaLa2Ge7Pt2
1.0
3.051 -3.051 0.000
3.051 3.051 0.000
-2.096 0.000 13.830
Na La Ge Pt
1 2 7 2
Cartesian
0.000 0.000 0.000 Na
-0.235 0.000 4.849 La
4.241 0.000 8.981 La
1.387 1.662 2.229 Ge
0.970 0.000 7.614 Ge
2.619 1.662 11.601 Ge
3.051 0.000 0.000 Ge
1.387 -1.662 2.229 Ge
3.037 0.000 6.216 Ge
2.619 -1.662 11.601 Ge
1.320 0.000 10.056 Pt
2.686 0.000 3.774 Pt
```

* total energy: -5.109 eV per atom
* D(E_F): 7.1 states/eV/f.u.
* density: 7.73 g cm⁻³



DFT (PBE-GGA) results for a relaxed structure of NaLa2Ge3Pt4.

```
NaLa2Ge3Pt4
1.0
4.371 0.000 0.000
0.000 4.371 0.000
0.000 0.000 10.620
Na La Ge Pt
1 2 3 4
Cartesian
0.000 0.000 0.000 Na
0.000 2.185 7.905 La
2.185 0.000 2.715 La
0.000 2.185 3.984 Ge
2.185 0.000 6.636 Ge
2.185 2.185 0.000 Ge
0.000 0.000 5.310 Pt
0.000 2.185 1.531 Pt
2.185 0.000 9.089 Pt
2.185 2.185 5.310 Pt
```

* total energy: -5.766 eV per atom
* D(E_F): 5.1 states/eV/f.u.
* density: 10.63 g cm⁻³



DFT (PBE-GGA) results for a relaxed structure of NaLaGe2Pt5.

```
NaLaGe2Pt5
1.0
4.232 0.000 0.000
0.000 4.232 0.000
0.000 0.000 9.495
Na La Ge Pt
1 1 2 5
Cartesian
0.000 0.000 0.000 Na
0.000 0.000 4.747 La
2.116 2.116 1.263 Ge
2.116 2.116 8.232 Ge
0.000 2.116 2.561 Pt
0.000 2.116 6.933 Pt
2.116 0.000 2.561 Pt
2.116 0.000 6.933 Pt
2.116 2.116 4.747 Pt
```

* total energy: -5.766 eV per atom
* D(E_F): 3.4 states/eV/f.u.
* density: 12.53 g cm⁻³